Zn4C | PBE | optimized geometry

a = 5.375 Å, b = 5.375 Å, c = 5.375 Å
α = 93.24°, β = 93.24°, γ = 152.50°
Element x y z (fractional)
Zn (0.000, 0.265, 0.265)
Zn (0.000, 0.735, 0.735)
Zn (0.265, 0.000, 0.265)
Zn (0.735, 0.000, 0.735)
C (0.500, 0.500, 0.000)

Results
The calculated formation energy is 0.710 eV per atom. Its total energy is -10.8 eV/cell.

***

TmCd5Ag8 | PBE | optimized geometry

a = 7.250 Å, b = 7.250 Å, c = 7.250 Å
α = 111.40°, β = 111.40°, γ = 105.67°
Element x y z (fractional)
Tm (0.000, 0.000, 0.000)
Cd (0.188, 0.047, 0.575)
Cd (0.387, 0.812, 0.860)
Cd (0.473, 0.613, 0.425)
Cd (0.750, 0.250, 0.500)
Cd (0.953, 0.527, 0.140)
Ag (0.114, 0.362, 0.447)
Ag (0.191, 0.422, 0.910)
Ag (0.333, 0.886, 0.248)
Ag (0.512, 0.281, 0.090)
Ag (0.578, 0.488, 0.769)
Ag (0.638, 0.085, 0.752)
Ag (0.719, 0.809, 0.231)
Ag (0.915, 0.667, 0.553)

Results
The calculated formation energy is 0.001 eV per atom. Its total energy is -31.8 eV/cell.

***

Y3Cu | PBE | optimized geometry

a = 10.118 Å, b = 10.118 Å, c = 10.118 Å
α = 20.64°, β = 20.64°, γ = 20.64°
Element x y z (fractional)
Y (0.000, 0.000, 0.000)
Y (0.234, 0.234, 0.234)
Y (0.766, 0.766, 0.766)
Cu (0.500, 0.500, 0.500)

Results
The calculated formation energy is 0.036 eV per atom. Its total energy is -23.3 eV/cell.

***

TbDy2Ru | PBE | optimized geometry

a = 10.889 Å, b = 10.889 Å, c = 10.889 Å
α = 18.48°, β = 18.48°, γ = 18.48°
Element x y z (fractional)
Tb (0.000, 0.000, 0.000)
Dy (0.107, 0.107, 0.107)
Dy (0.893, 0.893, 0.893)
Ru (0.500, 0.500, 0.500)

Results
The calculated formation energy is 0.111 eV per atom. Its total energy is -22.7 eV/cell. For the relative energy among the computed polymorphs, the calculation gives 1.72 eV per formula unit.

***

Rb2SeSF | PBE | optimized geometry

a = 6.583 Å, b = 6.583 Å, c = 4.164 Å
α = 90.00°, β = 90.00°, γ = 90.00°
Element x y z (fractional)
Rb (0.000, 0.500, 0.000)
Rb (0.500, 0.000, 0.000)
Se (0.000, 0.000, 0.000)
S (0.500, 0.500, 0.500)
F (0.000, 0.000, 0.500)

Results
Its total energy is -15.2 eV/cell. The uncorrected formation energy is -0.763 eV per atom.

***

MgRe3Ni | PBE | optimized geometry

a = 4.429 Å, b = 4.429 Å, c = 4.429 Å
α = 90.00°, β = 90.00°, γ = 90.00°
Element x y z (fractional)
Mg (0.000, 0.000, 0.000)
Re (0.000, 0.000, 0.500)
Re (0.000, 0.500, 0.000)
Re (0.500, 0.000, 0.000)
Ni (0.500, 0.500, 0.500)

Results
The calculated formation energy is 2.689 eV per atom. Its total energy is -31.3 eV/cell. For the relative energy among the computed polymorphs, the calculation gives 5.38 eV per formula unit.